# Li2TeIrO6 | the Alexandria database | GGA-PBE | optimized geometry
# E   -5.57 eV per atom
# ΔE_f (raw)   -1.014 eV/atom
data_Li2TeIrO6
_chemical_formula_sum 'Li2 Te1 Ir1 O6'
_space_group_name_H-M_alt 'P 4 m m'
_space_group_IT_number 99
_space_group_name_Hall 'P 4 -2'
_cell_length_a 5.664
_cell_length_b 5.664
_cell_length_c 3.873
_cell_angle_alpha 90.00
_cell_angle_beta 90.00
_cell_angle_gamma 90.00
loop_
_atom_site_label
_atom_site_type_symbol
_atom_site_fract_x
_atom_site_fract_y
_atom_site_fract_z
Li1 Li 0.000 0.500 0.000
Te1 Te 0.000 0.000 0.788
Ir1 Ir 0.500 0.500 0.791
O1 O 0.000 0.000 0.298
O2 O 0.247 0.247 0.851
O3 O 0.500 0.500 0.303